KSb2CI | PBE | optimized geometry

POSCAR file:
```
KSb2CI
1.0
6.3961 0.0000 0.0000
0.0000 6.3961 0.0000
0.0000 0.0000 6.2402
K Sb C I
1 2 1 1
Cartesian
0.0000 0.0000 0.0000
0.0000 3.1981 0.0000
3.1981 0.0000 0.0000
3.1981 3.1981 3.1201
0.0000 0.0000 3.1201
```

Calculated values
symmetry: P4/mmm
energy above the lowest structure with this stoichiometry: 830 kJ/mol of formula units
DFT total energy: -1.775 eV per atom
ΔE_f (raw): 2.25 eV/atom